Material: CrP2SeO
Method: DFT, GGA+U
State: optimized geometry

Computed properties:
E above lowest polymorph: 377 meV per atom
V: 17.752 Å³/atom

abc: 4.9183 4.9183 3.6693
angles: 90.00 90.00 90.00
Last column: magnetic moment on the atom in μB.
Positions (direct):
O1 0.0000 0.0000 0.5000  -0.02
Se1 0.0000 0.0000 0.0000  0.02
Cr1 0.5000 0.5000 0.5000  4.09
P1 0.0000 0.5000 0.0000  -0.18
P2 0.5000 0.0000 0.0000  -0.18